(1)
The following is a GGA-PBE calculation of crystalline Ce10Ni3Sn3 at its relaxed geometry, from the Alexandria database.

Values from the calculation:
space group = No. 42
energy relative to the elements = -341 meV per atom
volume = 410.62 Å³/cell

abc: 8.792 8.447 7.940
angles: 64.81 60.38 54.81
Last column: magnetic moment on the atom in μB.
Positions (direct):
1 Ce 0.165 0.537 0.824  0.70
2 Ce 0.526 0.176 0.463  0.70
3 Ce 0.029 0.707 0.293  0.55
4 Ce 0.717 0.001 0.999  0.61
5 Ce 0.824 0.474 0.165  0.70
6 Ce 0.463 0.835 0.526  0.70
7 Ce 0.999 0.283 0.717  0.61
8 Ce 0.293 0.971 0.029  0.55
9 Ce 0.045 0.955 0.436  0.36
10 Ce 0.436 0.564 0.045  0.36
11 Ni 0.115 0.885 0.853  -0.02
12 Ni 0.853 0.147 0.115  -0.02
13 Ni 0.406 0.594 0.406  -0.05
14 Sn 0.638 0.362 0.638  -0.02
15 Sn 0.746 0.754 0.746  -0.03
16 Sn 0.246 0.254 0.246  -0.03

=====

(2)
The following is a GGA-PBE calculation of crystalline Ce2NiSn3 at its relaxed geometry, from the Alexandria database.

Values from the calculation:
space group = No. 25
energy relative to the elements = -468 meV per atom
distance to the lowest polymorph of the same formula = 0.050 eV/atom
volume = 154.53 Å³/cell

abc: 4.213 4.628 7.924
angles: 90.00 90.00 90.00
Last column: magnetic moment on the atom in μB.
Positions (direct):
1 Ce 0.000 0.500 0.022  0.84
2 Ce 0.000 0.000 0.500  0.79
3 Ni 0.500 0.500 0.313  -0.06
4 Sn 0.500 0.000 0.839  0.01
5 Sn 0.500 0.000 0.195  -0.01
6 Sn 0.500 0.500 0.631  0.00

=====

(3)
The following is a GGA-PBE calculation of crystalline Ce2Ni15Sn2 at its relaxed geometry, from the Alexandria database.

Values from the calculation:
space group = No. 166
energy relative to the elements = -97 meV per atom
volume = 260.55 Å³/cell

abc: 6.448 6.448 6.448
angles: 81.77 81.77 81.77
Last column: magnetic moment on the atom in μB.
Positions (direct):
1 Ce 0.118 0.118 0.118  -0.09
2 Ce 0.882 0.882 0.882  -0.09
3 Ni 0.500 0.000 0.000  0.10
4 Ni 0.000 0.000 0.500  0.10
5 Ni 0.000 0.500 0.000  0.10
6 Ni 0.000 0.665 0.335  0.20
7 Ni 0.665 0.335 0.000  0.20
8 Ni 0.335 0.000 0.665  0.20
9 Ni 0.335 0.665 0.000  0.20
10 Ni 0.665 0.000 0.335  0.20
11 Ni 0.000 0.335 0.665  0.20
12 Ni 0.179 0.660 0.660  0.17
13 Ni 0.660 0.660 0.179  0.17
14 Ni 0.660 0.179 0.660  0.17
15 Ni 0.821 0.340 0.340  0.17
16 Ni 0.340 0.340 0.821  0.17
17 Ni 0.340 0.821 0.340  0.17
18 Sn 0.374 0.374 0.374  0.00
19 Sn 0.626 0.626 0.626  0.00

=====

(4)
The following is a GGA-PBE calculation of crystalline Ce2NiSn at its relaxed geometry, from the Alexandria database.

Values from the calculation:
space group = No. 123
energy relative to the elements = -420 meV per atom
distance to the lowest polymorph of the same formula = 0.000 eV/atom
volume = 91.48 Å³/cell

abc: 3.281 3.281 8.498
angles: 90.00 90.00 90.00
Positions (direct):
1 Ni 0.500 0.500 0.000
2 Sn 0.500 0.500 0.500
3 Ce 0.000 0.000 0.788
4 Ce 0.000 0.000 0.212

=====

(5)
The following is a GGA-PBE calculation of crystalline Ce4Ni2Sn5 at its relaxed geometry, from the Alexandria database.

Values from the calculation:
space group = No. 10
energy relative to the elements = -511 meV per atom
volume = 266.93 Å³/cell

abc: 3.511 7.802 9.770
angles: 94.07 90.00 90.00
Last column: magnetic moment on the atom in μB.
Positions (direct):
1 Ce 0.500 0.772 0.555  0.23
2 Ce 0.500 0.178 0.861  0.33
3 Ce 0.500 0.228 0.445  0.23
4 Ce 0.500 0.822 0.139  0.33
5 Ni 0.000 0.064 0.631  -0.04
6 Ni 0.000 0.936 0.369  -0.04
7 Sn 0.000 0.553 0.316  -0.01
8 Sn 0.000 0.173 0.159  0.00
9 Sn 0.000 0.500 0.000  -0.01
10 Sn 0.000 0.827 0.841  0.00
11 Sn 0.000 0.447 0.684  -0.01

=====

(6)
The following is a GGA-PBE calculation of crystalline Ce2Ni9Sn at its relaxed geometry, from the Alexandria database.

Values from the calculation:
space group = No. 166
energy relative to the elements = -256 meV per atom
volume = 170.97 Å³/cell

abc: 4.889 4.889 8.728
angles: 73.74 73.74 60.00
Positions (direct):
1 Ce 0.865 0.865 0.405
2 Ce 0.135 0.135 0.595
3 Ni 0.667 0.667 0.998
4 Ni 0.333 0.333 0.002
5 Ni 0.500 0.500 0.500
6 Ni 0.417 0.417 0.248
7 Ni 0.917 0.417 0.248
8 Ni 0.417 0.917 0.248
9 Ni 0.583 0.583 0.752
10 Ni 0.583 0.083 0.752
11 Ni 0.083 0.583 0.752
12 Sn 0.000 0.000 0.000

=====

(7)
The following is a GGA-PBE calculation of crystalline CeNiSn at its relaxed geometry, from the Alexandria database.

Values from the calculation:
space group = No. 12
energy relative to the elements = -531 meV per atom
volume = 128.53 Å³/cell

abc: 5.743 5.743 7.267
angles: 54.55 54.55 43.33
Last column: magnetic moment on the atom in μB.
Positions (direct):
1 Ce 0.434 0.434 0.342  0.29
2 Ce 0.566 0.566 0.658  0.29
3 Ni 0.853 0.853 0.687  -0.03
4 Ni 0.147 0.147 0.313  -0.03
5 Sn 0.172 0.172 0.911  -0.01
6 Sn 0.828 0.828 0.089  -0.01

=====

(8)
The following is a GGA-PBE calculation of crystalline CeNi5Sn at its relaxed geometry, from the Alexandria database.

Values from the calculation:
space group = No. 194
energy relative to the elements = -389 meV per atom
distance to the lowest polymorph of the same formula = 0.000 eV/atom
volume = 408.42 Å³/cell

abc: 4.891 4.891 19.717
angles: 90.00 90.00 120.00
Positions (direct):
1 Ce 0.667 0.333 0.750
2 Ce 0.000 0.000 0.000
3 Ce 0.333 0.667 0.250
4 Ce 0.000 0.000 0.500
5 Ni 0.834 0.668 0.146
6 Ni 0.834 0.166 0.354
7 Ni 0.332 0.166 0.354
8 Ni 0.333 0.667 0.542
9 Ni 0.166 0.834 0.646
10 Ni 0.166 0.332 0.646
11 Ni 0.834 0.668 0.354
12 Ni 0.834 0.166 0.146
13 Ni 0.668 0.834 0.646
14 Ni 0.166 0.834 0.854
15 Ni 0.667 0.333 0.458
16 Ni 0.668 0.834 0.854
17 Ni 0.166 0.332 0.854
18 Ni 0.332 0.166 0.146
19 Ni 0.667 0.333 0.042
20 Ni 0.333 0.667 0.958
21 Ni 0.667 0.333 0.250
22 Ni 0.000 0.000 0.750
23 Ni 0.333 0.667 0.750
24 Ni 0.000 0.000 0.250
25 Sn 0.667 0.333 0.588
26 Sn 0.333 0.667 0.088
27 Sn 0.333 0.667 0.412
28 Sn 0.667 0.333 0.912

=====

> The highest energy relative to the elements belongs to which entry?

Ce2Ni15Sn2

=====

> Which value of energy relative to the elements does entry 3 give?

-97 meV per atom

=====

Repeat the sixth record exactly.
The following is a GGA-PBE calculation of crystalline Ce2Ni9Sn at its relaxed geometry, from the Alexandria database.

Values from the calculation:
space group = No. 166
energy relative to the elements = -256 meV per atom
volume = 170.97 Å³/cell

abc: 4.889 4.889 8.728
angles: 73.74 73.74 60.00
Positions (direct):
1 Ce 0.865 0.865 0.405
2 Ce 0.135 0.135 0.595
3 Ni 0.667 0.667 0.998
4 Ni 0.333 0.333 0.002
5 Ni 0.500 0.500 0.500
6 Ni 0.417 0.417 0.248
7 Ni 0.917 0.417 0.248
8 Ni 0.417 0.917 0.248
9 Ni 0.583 0.583 0.752
10 Ni 0.583 0.083 0.752
11 Ni 0.083 0.583 0.752
12 Sn 0.000 0.000 0.000

=====

> Which of these has the highest volume?

Ce10Ni3Sn3